Record 1
Entry from the Alexandria database: crystalline Nd5ZnBi3 at its relaxed geometry (PBE).

Values from the calculation:
energy relative to the elements = -0.736 eV/atom
size of the total moment = 0.00 μB/f.u.
symmetry = P6_3/mcm

Structure (POSCAR):
```
Nd5ZnBi3
1.0
-0.680 2.477 -6.116
-0.678 -8.973 -3.559
-7.977 4.711 2.796
Nd Zn Bi
10 2 6
direct
0.000 0.333 0.667
0.500 0.667 0.333
0.000 0.667 0.333
0.500 0.333 0.667
0.750 0.738 0.000
0.750 0.262 0.262
0.750 0.000 0.738
0.250 0.262 0.000
0.250 0.738 0.738
0.250 0.000 0.262
0.000 0.000 0.000
0.500 0.000 0.000
0.750 0.382 0.000
0.750 0.618 0.618
0.750 0.000 0.382
0.250 0.618 0.000
0.250 0.382 0.382
0.250 0.000 0.618
```

Record 2
Entry from the Alexandria database: crystalline Al4Ru3Pt at its relaxed geometry (PBE).

Values from the calculation:
energy relative to the elements = -0.824 eV/atom
size of the total moment = 0.00 μB/f.u.
symmetry = Pmmm

Structure (POSCAR):
```
Al4Ru3Pt
1.0
-0.940 2.047 -2.093
-4.018 -0.852 0.971
0.134 6.083 5.892
Ru Al Pt
3 4 1
direct
0.500 0.000 0.245
0.500 0.500 0.500
0.500 0.000 0.755
0.000 0.000 0.500
0.000 0.500 0.741
0.000 0.000 0.000
0.000 0.500 0.259
0.500 0.500 0.000
```

Record 3
Entry from the Alexandria database: crystalline Li2CaTbGe2 at its relaxed geometry (PBE).

Values from the calculation:
energy relative to the elements = -0.591 eV/atom
size of the total moment = 0.00 μB/f.u.
symmetry = P-3m1

Structure (POSCAR):
```
Li2CaTbGe2
1.0
-3.292 1.710 2.551
-0.580 -0.412 -4.445
-2.719 -6.687 0.974
Li Ca Tb Ge
2 1 1 2
direct
0.333 0.667 0.736
0.667 0.333 0.264
0.000 0.000 0.000
0.000 0.000 0.500
0.333 0.667 0.277
0.667 0.333 0.723
```

Record 4
Entry from the Alexandria database: crystalline Pr6AsP5 at its relaxed geometry (PBE).

Values from the calculation:
energy relative to the elements = -1.512 eV/atom
size of the total moment = 0.00 μB/f.u.
symmetry = C2/m

Structure (POSCAR):
```
Pr6AsP5
1.0
-6.005 4.124 -0.631
-0.661 -4.047 -6.054
-1.260 -2.991 6.552
Pr P As
6 5 1
direct
0.748 0.916 0.579
0.252 0.421 0.084
0.252 0.747 0.747
0.748 0.253 0.253
0.748 0.579 0.916
0.252 0.084 0.421
0.500 0.834 0.166
0.000 0.667 0.333
0.500 0.500 0.500
0.000 0.333 0.667
0.500 0.166 0.834
0.000 0.000 0.000
```

Record 5
Entry from the Alexandria database: crystalline PrHPt at its relaxed geometry (PBE).

Values from the calculation:
energy above the most stable polymorph in this dataset = 0 meV per atom
size of the total moment = 0.00 μB/f.u.
symmetry = P-1

Structure (POSCAR):
```
PrHPt
1.0
4.026 -0.576 0.079
0.646 4.585 0.154
1.925 -0.138 5.745
Pr H Pt
2 2 2
direct
0.132 0.254 0.737
0.868 0.746 0.263
0.688 0.997 0.625
0.312 0.003 0.375
0.581 0.726 0.837
0.419 0.274 0.163
```

Record 6
Entry from the Alexandria database: crystalline DyY4Ho at its relaxed geometry (PBE).

Values from the calculation:
energy above the most stable polymorph in this dataset = 0 meV per atom
energy relative to the elements = 0.151 eV/atom
size of the total moment = 0.00 μB/f.u.
symmetry = C2/c

Structure (POSCAR):
```
DyY4Ho
1.0
-2.945 4.678 -3.306
0.316 -7.603 -4.660
-5.135 -0.567 6.857
Dy Y Ho
2 8 2
direct
0.339 0.589 0.177
0.661 0.411 0.823
0.052 0.175 0.755
0.751 0.711 0.608
0.203 0.580 0.755
0.357 0.897 0.608
0.643 0.103 0.392
0.797 0.420 0.245
0.249 0.289 0.392
0.948 0.825 0.245
0.252 0.002 0.003
0.748 0.998 0.997
```

Record 7
Entry from the Alexandria database: crystalline Pt3WC at its relaxed geometry (PBE).

Values from the calculation:
energy above the most stable polymorph in this dataset = 1658 meV per atom
energy relative to the elements = 2.512 eV/atom
size of the total moment = 0.92 μB/f.u.
symmetry = Pm-3m

Structure (POSCAR):
```
Pt3WC
1.0
-3.055 -3.417 -1.579
2.035 0.212 -4.395
3.167 -3.433 1.300
C W Pt
1 1 3
direct
0.500 0.500 0.500
0.000 0.000 0.000
0.000 0.500 0.000
0.000 0.000 0.500
0.500 0.000 0.000
```

Record 8
Entry from the Alexandria database: crystalline CaIn2BiPd at its relaxed geometry (PBE).

Values from the calculation:
energy above the most stable polymorph in this dataset = 0 meV per atom
energy relative to the elements = -0.351 eV/atom
size of the total moment = 0.00 μB/f.u.
symmetry = P4/mmm

Structure (POSCAR):
```
CaIn2BiPd
1.0
-4.046 1.317 2.903
-3.077 -2.839 -3.001
0.896 -4.401 3.246
Ca Bi Pd In
1 1 1 2
direct
0.000 0.000 0.500
0.500 0.500 0.500
0.000 0.000 0.000
0.000 0.500 0.000
0.500 0.000 0.000
```